First-principles (PBE) data for SrYIn after structural relaxation, as listed in the Alexandria database.

size of the total moment	0.1	μB per formula unit
V	35.81	A^3/atom
total DFT energy (no corrections)	-23.7	eV/cell
calculated density	4504	kg/m3
crystal system	tetragonal

POSCAR file:
```
SrYIn
1.0
5.111 0.000 0.000
0.000 5.111 0.000
0.000 0.000 8.225
Sr Y In
2 2 2
direct
0.000 0.500 0.856 Sr
0.500 0.000 0.144 Sr
0.500 0.500 0.500 Y
0.000 0.000 0.500 Y
0.000 0.500 0.271 In
0.500 0.000 0.729 In
```